The following is a PBE calculation of crystalline La2ErAu at its relaxed geometry, from Alexandria.

a b c (Å): 3.8290 3.8290 8.3796
angles (deg): 90.00 90.00 90.00
With the nearest neighbours (Å) after each atom.
Fractional coordinates of all 4 atoms:
Er  0.5000  0.5000  0.5000  8 La 3.61, 4 Er 3.83
Au  0.5000  0.5000  0.0000  8 La 3.26
La  0.0000  0.0000  0.7842  4 Au 3.26, 4 Er 3.61, 1 La 3.62
La  0.0000  0.0000  0.2158  4 Au 3.26, 4 Er 3.61, 1 La 3.62

For the offset from the most stable computed form, the calculation gives 0.000 eV per atom. The calculation puts the energy relative to the elements at -0.343 eV/atom. The volume is 30.71 A^3/atom.